No. 1
Compound: MnSbMo
Source: the Alexandria database
Functional: PBE
Structure: relaxed

Cell lengths 4.4221, 4.4221, 4.4221 Å; angles 60.00, 60.00, 60.00 degrees
Fractional positions:
Mn 0.0000 0.0000 0.0000
Sb 0.5000 0.5000 0.5000
Mo 0.2500 0.2500 0.2500

Calculated values
The calculation puts the energy relative to the lowest polymorph listed for this composition at 130 kJ/mol of formula units. Its uncorrected formation energy is 1.40 eV per formula unit. The crystal system is cubic.


No. 2
Compound: ErLuThTl
Source: the Alexandria database
Functional: PBE
Structure: relaxed

Cell lengths 5.4627, 5.4627, 5.4627 Å; angles 60.00, 60.00, 60.00 degrees
Fractional positions:
Er 0.0000 0.0000 0.0000
Lu 0.2500 0.2500 0.2500
Th 0.5000 0.5000 0.5000
Tl 0.7500 0.7500 0.7500

Calculated values
The value obtained for the formation energy is 0.04 eV per atom. The crystal system is cubic.


No. 3
Compound: Tb5Ho2Tl
Source: the Alexandria database
Functional: PBE
Structure: relaxed

Cell lengths 7.0055, 7.0055, 7.0055 Å; angles 119.69, 119.69, 90.53 degrees
Fractional positions:
Tb 0.0000 0.0000 0.0000
Tb 0.0000 0.0000 0.5000
Tb 0.0000 0.5000 0.0000
Tb 0.5000 0.0000 0.0000
Tb 0.5000 0.5000 0.5000
Ho 0.0000 0.5000 0.5000
Ho 0.5000 0.0000 0.5000
Tl 0.5000 0.5000 0.0000

Calculated values
The calculation puts the energy relative to the lowest polymorph listed for this composition at 17 kJ/mol of formula units. The value obtained for the formation energy is -0.03 eV per atom. The crystal system is tetragonal.


No. 4
Compound: ErGa2Ru2
Source: the Alexandria database
Functional: PBE
Structure: relaxed

Cell lengths 7.2881, 7.2881, 3.0798 Å; angles 90.00, 90.00, 90.00 degrees
Fractional positions:
Er 0.0000 0.0000 0.0000
Er 0.5000 0.5000 0.0000
Ga 0.1263 0.3737 0.0000
Ga 0.3737 0.8737 0.0000
Ga 0.6263 0.1263 0.0000
Ga 0.8737 0.6263 0.0000
Ru 0.1689 0.6689 0.5000
Ru 0.3311 0.1689 0.5000
Ru 0.6689 0.8311 0.5000
Ru 0.8311 0.3311 0.5000

Calculated values
The calculation puts the energy relative to the lowest polymorph listed for this composition at 0 kJ/mol of formula units. The value obtained for the formation energy is -0.45 eV per atom. The crystal system is tetragonal.


No. 5
Compound: NaLa3Ir
Source: the Alexandria database
Functional: PBE
Structure: relaxed

Cell lengths 8.9420, 3.9686, 9.6339 Å; angles 90.00, 98.39, 90.00 degrees
Fractional positions:
Na 0.1598 0.0000 0.0269
Na 0.8402 0.5000 0.9731
La 0.0555 0.5019 0.6491
La 0.3306 0.5015 0.4031
La 0.4249 0.5011 0.8231
La 0.5751 0.0011 0.1769
La 0.6694 0.0015 0.5969
La 0.9445 0.0019 0.3509
Ir 0.3136 0.0017 0.6164
Ir 0.6864 0.5017 0.3836

Calculated values
The calculation puts the energy relative to the lowest polymorph listed for this composition at 8 kJ/mol of formula units. The value obtained for the formation energy is -0.31 eV per atom. The crystal system is monoclinic.


No. 6
Compound: ReTe2Rh
Source: the Alexandria database
Functional: PBE
Structure: relaxed

Cell lengths 8.9367, 8.9367, 8.9367 Å; angles 21.80, 21.80, 21.80 degrees
Fractional positions:
Re 0.0000 0.0000 0.0000
Te 0.0969 0.0969 0.0969
Te 0.9031 0.9031 0.9031
Rh 0.5000 0.5000 0.5000

Calculated values
The calculation puts the energy relative to the lowest polymorph listed for this composition at 209 kJ/mol of formula units. Its uncorrected formation energy is 2.88 eV per formula unit. The crystal system is trigonal.


No. 7
Compound: Ac12H5Au3
Source: the Alexandria database
Functional: PBE
Structure: relaxed

Cell lengths 14.6809, 14.6809, 14.6809 Å; angles 109.47, 109.47, 109.47 degrees
Fractional positions:
Ac 0.0216 0.2127 0.1150
Ac 0.0216 0.3089 0.9066
Ac 0.0934 0.6150 0.4023
Ac 0.0934 0.9784 0.6911
Ac 0.0977 0.7127 0.6911
Ac 0.0977 0.8850 0.4066
Ac 0.1150 0.0216 0.2127
Ac 0.1150 0.5934 0.9023
Ac 0.1911 0.2127 0.5977
Ac 0.1911 0.4784 0.5934
Ac 0.2127 0.1150 0.0216
Ac 0.2127 0.5977 0.1911
Ac 0.2873 0.3089 0.9023
Ac 0.2873 0.4784 0.3850
Ac 0.3089 0.9023 0.2873
Ac 0.3089 0.9066 0.0216
Ac 0.3850 0.2873 0.4784
Ac 0.3850 0.5977 0.9066
Ac 0.4023 0.0934 0.6150
Ac 0.4023 0.8089 0.7873
Ac 0.4066 0.0977 0.8850
Ac 0.4066 0.8089 0.5216
Ac 0.4784 0.3850 0.2873
Ac 0.4784 0.5934 0.1911
Ac 0.5216 0.4066 0.8089
Ac 0.5216 0.6150 0.7127
Ac 0.5934 0.1911 0.4784
Ac 0.5934 0.9023 0.1150
Ac 0.5977 0.1911 0.2127
Ac 0.5977 0.9066 0.3850
Ac 0.6150 0.4023 0.0934
Ac 0.6150 0.7127 0.5216
Ac 0.6911 0.0934 0.9784
Ac 0.6911 0.0977 0.7127
Ac 0.7127 0.5216 0.6150
Ac 0.7127 0.6911 0.0977
Ac 0.7873 0.4023 0.8089
Ac 0.7873 0.8850 0.9784
Ac 0.8089 0.5216 0.4066
Ac 0.8089 0.7873 0.4023
Ac 0.8850 0.4066 0.0977
Ac 0.8850 0.9784 0.7873
Ac 0.9023 0.1150 0.5934
Ac 0.9023 0.2873 0.3089
Ac 0.9066 0.0216 0.3089
Ac 0.9066 0.3850 0.5977
Ac 0.9784 0.6911 0.0934
Ac 0.9784 0.7873 0.8850
H 0.0000 0.0000 0.0000
H 0.0000 0.0000 0.5000
H 0.0000 0.5000 0.0000
H 0.0000 0.5000 0.5000
H 0.1250 0.7500 0.8750
H 0.1250 0.8750 0.2500
H 0.2500 0.1250 0.8750
H 0.2500 0.6250 0.3750
H 0.3750 0.2500 0.6250
H 0.3750 0.6250 0.7500
H 0.5000 0.0000 0.0000
H 0.5000 0.0000 0.5000
H 0.5000 0.5000 0.0000
H 0.5000 0.5000 0.5000
H 0.6250 0.3750 0.2500
H 0.6250 0.7500 0.3750
H 0.7500 0.3750 0.6250
H 0.7500 0.8750 0.1250
H 0.8750 0.1250 0.7500
H 0.8750 0.2500 0.1250
Au 0.1250 0.2500 0.3750
Au 0.1250 0.3750 0.7500
Au 0.2500 0.3750 0.1250
Au 0.2500 0.8750 0.6250
Au 0.3750 0.1250 0.2500
Au 0.3750 0.7500 0.1250
Au 0.6250 0.2500 0.8750
Au 0.6250 0.8750 0.7500
Au 0.7500 0.1250 0.3750
Au 0.7500 0.6250 0.8750
Au 0.8750 0.6250 0.2500
Au 0.8750 0.7500 0.6250

Calculated values
The crystal system is cubic.


No. 8
Compound: ScRe2MoAu
Source: the Alexandria database
Functional: PBE
Structure: relaxed

Cell lengths 4.8312, 4.8312, 4.6998 Å; angles 90.00, 90.00, 90.00 degrees
Fractional positions:
Sc 0.0000 0.0000 0.0000
Re 0.0000 0.5000 0.5000
Re 0.5000 0.0000 0.5000
Mo 0.5000 0.5000 0.0000
Au 0.0000 0.0000 0.5000

Calculated values
The value obtained for the formation energy is 2.24 eV per atom. The crystal system is tetragonal.


No. 9
Compound: RbLiCl
Source: the Alexandria database
Functional: PBE
Structure: relaxed

Cell lengths 7.4655, 7.4655, 7.4655 Å; angles 140.96, 71.52, 122.70 degrees
Fractional positions:
Rb 0.1491 0.2500 0.3991
Rb 0.8509 0.7500 0.6009
Li 0.4437 0.8014 0.1423
Li 0.6592 0.3014 0.8577
Cl 0.0467 0.5217 0.0250
Cl 0.4967 0.0217 0.9750

Calculated values
The calculation puts the energy relative to the lowest polymorph listed for this composition at 2 kJ/mol of formula units. Its uncorrected formation energy is -3.35 eV per formula unit. The crystal system is orthorhombic.


No. 10
Compound: Pd2Pb2I
Source: the Alexandria database
Functional: PBE
Structure: relaxed

Cell lengths 8.5071, 8.5071, 3.5491 Å; angles 90.00, 90.00, 90.00 degrees
Fractional positions:
Pd 0.1164 0.3836 0.0000
Pd 0.3836 0.8836 0.0000
Pd 0.6164 0.1164 0.0000
Pd 0.8836 0.6164 0.0000
Pb 0.1614 0.6614 0.5000
Pb 0.3386 0.1614 0.5000
Pb 0.6614 0.8386 0.5000
Pb 0.8386 0.3386 0.5000
I 0.0000 0.0000 0.5000
I 0.5000 0.5000 0.5000

Calculated values
The calculation puts the energy relative to the lowest polymorph listed for this composition at 80 kJ/mol of formula units. Its uncorrected formation energy is 0.05 eV per formula unit. The crystal system is tetragonal.


No. 11
Compound: CaBBr2
Source: the Alexandria database
Functional: PBE
Structure: relaxed

Cell lengths 9.3728, 9.3728, 9.3728 Å; angles 147.94, 147.94, 45.97 degrees
Fractional positions:
Ca 0.0000 0.0000 0.0000
Ca 0.7500 0.2500 0.5000
B 0.2500 0.7500 0.5000
B 0.5000 0.5000 0.0000
Br 0.1385 0.6250 0.0135
Br 0.3750 0.3885 0.5135
Br 0.6115 0.1250 0.9865
Br 0.8750 0.8615 0.4865

Calculated values
The calculation puts the energy relative to the lowest polymorph listed for this composition at 47 kJ/mol of formula units. Its uncorrected formation energy is 0.18 eV per formula unit. The crystal system is tetragonal.


No. 12
Compound: Rb3InBi3Te8
Source: the Alexandria database
Functional: PBE
Structure: relaxed

Cell lengths 8.9515, 8.9515, 10.3780 Å; angles 115.86, 115.86, 59.61 degrees
Fractional positions:
Rb 0.0000 0.0000 0.0000
Rb 0.0000 0.5000 0.0000
Rb 0.5000 0.0000 0.0000
In 0.0000 0.0000 0.5000
Bi 0.0000 0.5000 0.5000
Bi 0.5000 0.0000 0.5000
Bi 0.5000 0.5000 0.5000
Te 0.2248 0.2248 0.6956
Te 0.2255 0.7451 0.6961
Te 0.2549 0.7745 0.3039
Te 0.2657 0.2657 0.2968
Te 0.7343 0.7343 0.7032
Te 0.7451 0.2255 0.6961
Te 0.7745 0.2549 0.3039
Te 0.7752 0.7752 0.3044

Calculated values
Its uncorrected formation energy is -7.28 eV per formula unit. The crystal system is monoclinic.


| no. | total DFT energy (no corrections) (eV per formula unit) |
| --- | --- |
| 1 | -22.72 |
| 2 | -18.73 |
| 3 | -34.95 |
| 4 | -31.40 |
| 5 | -26.50 |
| 6 | -23.20 |
| 7 | -82.65 |
| 8 | -34.12 |
| 9 | -8.07 |
| 10 | -19.30 |
| 11 | -11.84 |
| 12 | -49.70 |